(1)
# CaSb2

A crystal of CaSb2 relaxed with PBEsol (SCAN, the Alexandria database).

Computed properties:
formation energy from raw total energies = -0.655 eV/atom
space group = I4_1/amd, No. 141

Cell: 16.9570 16.9570 16.9570 Å, 165.01 165.01 21.26°
With the nearest neighbours (Å) after each atom.
Fractional coordinates of all 12 atoms:
Ca 0.3014 0.5514 0.7500  10 Sb 3.20-3.52
Ca 0.4486 0.6986 0.7500  10 Sb 3.20-3.52
Ca 0.5514 0.3014 0.2500  10 Sb 3.20-3.52
Ca 0.6986 0.4486 0.2500  10 Sb 3.20-3.52
Sb 0.0306 0.7806 0.2500  2 Sb 3.01, 4 Ca 3.20
Sb 0.1226 0.3726 0.7500  4 Sb 3.13, 4 Ca 3.24-3.36
Sb 0.2194 0.9694 0.2500  2 Sb 3.01, 4 Ca 3.20
Sb 0.3726 0.1226 0.2500  4 Sb 3.13, 4 Ca 3.24-3.36
Sb 0.6274 0.8774 0.7500  4 Sb 3.13, 4 Ca 3.24-3.36
Sb 0.7806 0.0306 0.7500  2 Sb 3.01, 4 Ca 3.20
Sb 0.8774 0.6274 0.2500  4 Sb 3.13, 4 Ca 3.24-3.36
Sb 0.9694 0.2194 0.7500  2 Sb 3.01, 4 Ca 3.20

***

(2)
# LaFeSi2

A crystal of LaFeSi2 relaxed with PBEsol (SCAN, the Alexandria database).

Computed properties:
formation energy from raw total energies = -0.583 eV/atom
space group = Cmcm, No. 63

Cell: 8.7012 8.7012 4.0163 Å, 90.00 90.00 152.63°
With the nearest neighbours (Å) after each atom.
Fractional coordinates of all 8 atoms:
La 0.1084 0.8916 0.7500  11 Si 3.11-3.41, 4 Fe 3.12-3.16
La 0.8916 0.1084 0.2500  11 Si 3.11-3.41, 4 Fe 3.12-3.16
Fe 0.2500 0.7500 0.2500  4 Si 2.25-2.29
Fe 0.7500 0.2500 0.7500  4 Si 2.25-2.29
Si 0.3099 0.6901 0.7500  4 Fe 2.25-2.29
Si 0.4620 0.5380 0.7500  3 Si 2.38-2.57
Si 0.5380 0.4620 0.2500  3 Si 2.38-2.57
Si 0.6901 0.3099 0.2500  4 Fe 2.25-2.29

***

(3)
# Zr2TaMn

A crystal of Zr2TaMn relaxed with PBEsol (SCAN, the Alexandria database).

Computed properties:
energy of formation = 1.30 eV per formula unit
space group = R-3m, No. 166

Cell: 8.8895 8.8895 8.8895 Å, 19.96 19.96 19.96°
With the nearest neighbours (Å) after each atom.
Fractional coordinates of all 4 atoms:
Zr 0.2395 0.2395 0.2395  3 Mn 2.60
Zr 0.7605 0.7605 0.7605  3 Mn 2.60
Ta 0.0000 0.0000 0.0000  6 Zr 3.03, 6 Ta 3.08
Mn 0.5000 0.5000 0.5000  6 Zr 2.60

***

(4)
# MgFeCl2

A crystal of MgFeCl2 relaxed with PBEsol (SCAN, the Alexandria database).

Computed properties:
formation energy from raw total energies = -0.612 eV/atom
space group = Cm, No. 8

Cell: 5.8307 5.8307 6.7879 Å, 125.52 125.52 30.76°
With the nearest neighbours (Å) after each atom.
Fractional coordinates of all 4 atoms:
Mg 0.0000 0.0000 0.0000  4 Cl 2.65-2.66, 2 Fe 2.77
Fe 0.7565 0.7565 0.2588  4 Cl 2.44-2.45
Cl 0.3488 0.3488 0.6025  2 Fe 2.45, 2 Mg 2.65
Cl 0.3608 0.3608 0.1213  2 Fe 2.44, 2 Mg 2.66

***

| no. | calculated total energy (eV/atom) |
| --- | --- |
| 1 | -28.7163 |
| 2 | -20.8995 |
| 3 | -36.2331 |
| 4 | -10.3772 |